The following is a DFT calculation (PBE-GGA) of a relaxed structure of ReSbMo2.

Space group: P4mm, No. 99
E_tot in eV per atom: -9.232
V in Å³/cell: 67.0
Total magnetization in Bohr magnetons per cell: 0.0
D(E_F) in states/eV/atom: 0.9122

abc: 3.225 3.225 6.446
angles: 90.00 90.00 90.00
Sites, in units of the cell vectors:
Mo (0.000, 0.000, 0.015)
Mo (0.500, 0.500, 0.246)
Sb (0.500, 0.500, 0.749)
Re (0.000, 0.000, 0.490)



The following is a DFT calculation (PBE-GGA) of a relaxed structure of Ba6Na16N.

Space group: Im-3m, No. 229
E_tot in eV per atom: -1.828
V in Å³/cell: 946.5
Total magnetization in Bohr magnetons per cell: 0.0
D(E_F) in states/eV/atom: 0.7833

abc: 10.713 10.713 10.713
angles: 109.47 109.47 109.47
Sites, in units of the cell vectors:
Na (0.500, 0.000, 0.000)
Na (0.000, 0.000, 0.500)
Na (0.691, 0.345, 0.345)
N (0.000, 0.000, 0.000)
Na (0.655, 0.309, 0.655)
Na (0.000, 0.655, 0.345)
Na (0.345, 0.691, 0.345)
Na (0.345, 0.655, 0.000)
Ba (0.230, 0.230, 0.000)
Ba (0.000, 0.770, 0.770)
Ba (0.000, 0.230, 0.230)
Na (0.000, 0.500, 0.000)
Ba (0.770, 0.000, 0.770)
Ba (0.230, 0.000, 0.230)
Na (0.000, 0.345, 0.655)
Na (0.655, 0.000, 0.345)
Na (0.655, 0.655, 0.309)
Na (0.309, 0.655, 0.655)
Ba (0.770, 0.770, 0.000)
Na (0.345, 0.345, 0.691)
Na (0.345, 0.000, 0.655)
Na (0.655, 0.345, 0.000)
Na (0.500, 0.500, 0.500)



The following is a DFT calculation (PBE-GGA) of a relaxed structure of TmPuCdGa.

Space group: F-43m, No. 216
V in Å³/cell: 97.6
DFT formation energy in eV/atom: -0.25
Total magnetization in Bohr magnetons per cell: 6.1
D(E_F) in states/eV/atom: 1.8579

abc: 5.168 5.168 5.168
angles: 60.00 60.00 60.00
Site moments in Bohr magnetons follow the coordinates.
Sites, in units of the cell vectors:
Ga (0.250, 0.250, 0.250)  -0.05
Pu (0.500, 0.500, 0.500)  5.43
Cd (0.750, 0.750, 0.750)  0.04
Tm (0.000, 0.000, 0.000)  0.26



Q: The lowest V belongs to which entry?
A: ReSbMo2



Q: Which value of D(E_F) does entry 1 give?
A: 0.9122 states/eV/atom